1.
Entry from OQMD via LeMat-Bulk: GaNiOsPt after structural relaxation (GGA-PBE).

Calculated values
Its space group is F-43m (216).

Lattice parameters (Å, degrees): 4.323 4.323 4.323 60.00 60.00 60.00
Positions (direct):
Ga (0.000, 0.000, 0.000)
Ni (0.250, 0.250, 0.250)
Os (0.500, 0.500, 0.500)
Pt (0.750, 0.750, 0.750)

2.
Entry from OQMD via LeMat-Bulk: ScGaNiOs after structural relaxation (GGA-PBE).

Calculated values
Its space group is F-43m (216).

Lattice parameters (Å, degrees): 4.408 4.408 4.408 60.00 60.00 60.00
Positions (direct):
Sc (0.000, 0.000, 0.000)
Ga (0.250, 0.250, 0.250)
Ni (0.500, 0.500, 0.500)
Os (0.750, 0.750, 0.750)

3.
Entry from OQMD via LeMat-Bulk: TaGaNiOs after structural relaxation (GGA-PBE).

Calculated values
Its space group is F-43m (216).

Lattice parameters (Å, degrees): 4.366 4.366 4.366 60.00 60.00 60.00
Positions (direct):
Ta (0.000, 0.000, 0.000)
Ga (0.250, 0.250, 0.250)
Ni (0.500, 0.500, 0.500)
Os (0.750, 0.750, 0.750)

4.
Entry from OQMD via LeMat-Bulk: PaGaNi after structural relaxation (GGA-PBE).

Calculated values
Its space group is F-43m (216).

Lattice parameters (Å, degrees): 4.578 4.578 4.578 60.00 60.00 60.00
Positions (direct):
Pa (0.000, 0.000, 0.000)
Ga (0.750, 0.750, 0.750)
Ni (0.250, 0.250, 0.250)

5.
Entry from OQMD via LeMat-Bulk: PaGaNi after structural relaxation (GGA-PBE).

Calculated values
Its space group is F-43m (216).

Lattice parameters (Å, degrees): 4.386 4.386 4.386 60.00 60.00 60.00
Positions (direct):
Pa (0.000, 0.000, 0.000)
Ga (0.500, 0.500, 0.500)
Ni (0.250, 0.250, 0.250)

6.
Entry from OQMD via LeMat-Bulk: Pa4Ga12Ni after structural relaxation (GGA-PBE).

Calculated values
Its space group is Im-3m (229).

Lattice parameters (Å, degrees): 7.458 7.458 7.458 109.47 109.47 109.47
Positions (direct):
Pa (0.000, 0.000, 0.500)
Pa (0.000, 0.500, 0.000)
Pa (0.500, 0.000, 0.000)
Pa (0.500, 0.500, 0.500)
Ga (0.000, 0.288, 0.288)
Ga (0.000, 0.712, 0.712)
Ga (0.250, 0.500, 0.750)
Ga (0.250, 0.750, 0.500)
Ga (0.288, 0.000, 0.288)
Ga (0.288, 0.288, 0.000)
Ga (0.500, 0.250, 0.750)
Ga (0.500, 0.750, 0.250)
Ga (0.712, 0.000, 0.712)
Ga (0.712, 0.712, 0.000)
Ga (0.750, 0.250, 0.500)
Ga (0.750, 0.500, 0.250)
Ni (0.000, 0.000, 0.000)

Number 1: raw total energy -25.1 eV per cell. Number 2: raw total energy -26.1 eV per cell. Number 3: raw total energy -31.5 eV per cell. Number 4: raw total energy -16.9 eV per cell. Number 5: raw total energy -19.4 eV per cell. Number 6: raw total energy -86.6 eV per cell.